Record 1
Compound: BaHgRh2
Source: Alexandria
Functional: PBE
Structure: optimized geometry

## Properties
Size of the total moment = 0.0000 μB per atom
DOS at the Fermi energy = 2.94 states/eV/f.u.
Space group = P4/mmm, No. 123
Energy of formation = 177 meV/atom

a b c (Å): 3.5608 3.5608 6.8896
angles (deg): 90.00 90.00 90.00
With the nearest neighbours (Å) after each atom.
Sites, in units of the cell vectors:
Hg1 0.5000 0.5000 0.5000  8 Rh 2.87
Rh1 0.0000 0.0000 0.3005  1 Rh 2.75, 4 Hg 2.87
Rh2 0.0000 0.0000 0.6995  1 Rh 2.75, 4 Hg 2.87
Ba1 0.5000 0.5000 0.0000  8 Rh 3.26, 2 Hg 3.44, 4 Ba 3.56

---

Record 2
Compound: LiAg2SbI6
Source: Alexandria
Functional: PBE
Structure: optimized geometry

## Properties
Size of the total moment = 0.0000 μB per atom
DOS at the Fermi energy = 0.00 states/eV/f.u.
Formation energy (no corrections) = -0.451 eV/atom
Space group = C2/c, No. 15

a b c (Å): 7.8099 9.8560 9.8560
angles (deg): 85.61 82.93 82.93
With the nearest neighbours (Å) after each atom.
Sites, in units of the cell vectors:
Li1 0.2500 0.9110 0.0890  6 I 2.92-3.11
Li2 0.7500 0.0890 0.9110  6 I 2.92-3.11
Ag1 0.7057 0.5825 0.7749  4 I 2.80-2.93
Ag2 0.2943 0.4175 0.2251  4 I 2.80-2.93
Ag3 0.7943 0.2251 0.4175  4 I 2.80-2.93
Ag4 0.2057 0.7749 0.5825  4 I 2.80-2.93
I1 0.8925 0.3516 0.8925  1 Ag 2.80, 1 Li 2.92, 1 Sb 3.05
I2 0.3790 0.1985 0.0344  1 Ag 2.93, 1 Sb 3.07, 2 Li 3.10-3.11
I3 0.6315 0.4637 0.2812  2 Ag 2.85-2.86, 1 Sb 3.06
I4 0.6075 0.1075 0.6484  1 Ag 2.80, 1 Li 2.92, 1 Sb 3.05
I5 0.8790 0.0344 0.1985  1 Ag 2.93, 1 Sb 3.07, 2 Li 3.10-3.11
I6 0.6210 0.8015 0.9656  1 Ag 2.93, 1 Sb 3.07, 2 Li 3.10-3.11
I7 0.1075 0.6484 0.1075  1 Ag 2.80, 1 Li 2.92, 1 Sb 3.05
I8 0.3685 0.5363 0.7188  2 Ag 2.85-2.86, 1 Sb 3.06
I9 0.1315 0.2812 0.4637  2 Ag 2.85-2.86, 1 Sb 3.06
I10 0.1210 0.9656 0.8015  1 Ag 2.93, 1 Sb 3.07, 2 Li 3.10-3.11
I11 0.8685 0.7188 0.5363  2 Ag 2.85-2.86, 1 Sb 3.06
I12 0.3925 0.8925 0.3516  1 Ag 2.80, 1 Li 2.92, 1 Sb 3.05
Sb1 0.2500 0.2495 0.7505  6 I 3.05-3.07
Sb2 0.7500 0.7505 0.2495  6 I 3.05-3.07

---

Record 3
Compound: La2Sm6Dy3
Source: Alexandria
Functional: PBE
Structure: optimized geometry

## Properties
Size of the total moment = 0.0000 μB per atom
DOS at the Fermi energy = 17.67 states/eV/f.u.
Space group = C2/m, No. 12
Energy of formation = 170 meV/atom

a b c (Å): 6.2041 6.2096 11.9217
angles (deg): 84.94 79.84 60.03
With the nearest neighbours (Å) after each atom.
Sites, in units of the cell vectors:
Dy1 0.0000 0.0000 0.0000  6 Sm 3.54-3.55, 6 Dy 3.58-3.60
Dy2 0.6653 0.6695 0.0000  6 Sm 3.53-3.55, 6 Dy 3.56-3.60
Dy3 0.3347 0.3305 0.0000  6 Sm 3.53-3.55, 6 Dy 3.56-3.60
Sm1 0.2512 0.0000 0.2452  3 Dy 3.53-3.55, 6 Sm 3.58-3.59, 2 La 3.64
Sm2 0.9180 0.6668 0.2451  3 Dy 3.54-3.55, 6 Sm 3.58-3.59, 2 La 3.63-3.64
Sm3 0.7488 0.0000 0.7548  3 Dy 3.53-3.55, 6 Sm 3.58-3.59, 2 La 3.64
Sm4 0.5848 0.3332 0.2451  3 Dy 3.54-3.55, 6 Sm 3.58-3.59, 2 La 3.63-3.64
Sm5 0.0820 0.3332 0.7549  3 Dy 3.54-3.55, 6 Sm 3.58-3.59, 2 La 3.63-3.64
Sm6 0.4152 0.6668 0.7549  3 Dy 3.54-3.55, 6 Sm 3.58-3.59, 2 La 3.63-3.64
La1 0.1671 0.6658 0.5000  3 La 3.58-3.60, 6 Sm 3.63-3.64
La2 0.8329 0.3342 0.5000  3 La 3.58-3.60, 6 Sm 3.63-3.64